No. 1
! YAg3S (GGA-PBE, optimized geometry); values from VASP
! raw formation energy	250	meV per atom
! space-group type	Pm-3m
! E above lowest polymorph	0.000	eV/atom
&SYSTEM
  ibrav = 0, nat = 5, ntyp = 3
/
ATOMIC_SPECIES
Ag 107.87 Ag.upf
Y 88.91 Y.upf
S 32.06 S.upf
CELL_PARAMETERS angstrom
-2.390 -4.240 -0.410
3.968 -2.387 1.555
-1.550 0.428 4.612
ATOMIC_POSITIONS crystal
Ag 0.000 0.000 0.500
Y 0.500 0.500 0.500
S 0.000 0.000 0.000
Ag 0.000 0.500 0.000
Ag 0.500 0.000 0.000

***

No. 2
! Y2Ag2S (GGA-PBE, optimized geometry); values from VASP
! raw formation energy	-649	meV per atom
! space-group type	P4/mbm
&SYSTEM
  ibrav = 0, nat = 10, ntyp = 3
/
ATOMIC_SPECIES
S 32.06 S.upf
Ag 107.87 Ag.upf
Y 88.91 Y.upf
CELL_PARAMETERS angstrom
-6.764 3.058 0.846
-1.396 -1.081 -7.259
-1.696 -4.008 0.923
ATOMIC_POSITIONS crystal
S 0.500 0.500 0.000
Ag 0.872 0.372 0.500
Y 0.176 0.324 0.000
Ag 0.628 0.872 0.500
Y 0.824 0.676 0.000
S 0.000 0.000 0.000
Y 0.676 0.176 0.000
Ag 0.128 0.628 0.500
Ag 0.372 0.128 0.500
Y 0.324 0.824 0.000

***

No. 3
! Y6Ag2S (GGA-PBE, optimized geometry); values from VASP
! raw formation energy	-564	meV per atom
! space-group type	P2_1/c
&SYSTEM
  ibrav = 0, nat = 18, ntyp = 3
/
ATOMIC_SPECIES
Y 88.91 Y.upf
Ag 107.87 Ag.upf
S 32.06 S.upf
CELL_PARAMETERS angstrom
6.604 0.000 -0.020
0.000 7.354 0.000
0.300 0.000 10.225
ATOMIC_POSITIONS crystal
Y 0.830 0.675 0.440
Y 0.859 0.973 0.753
Ag 0.566 0.891 0.258
Y 0.170 0.325 0.560
Ag 0.066 0.609 0.758
Y 0.164 0.305 0.942
Y 0.670 0.175 0.060
Y 0.641 0.473 0.747
Y 0.141 0.027 0.247
Ag 0.434 0.109 0.742
S 0.500 0.500 0.000
Y 0.836 0.695 0.058
Ag 0.934 0.391 0.242
Y 0.330 0.825 0.940
Y 0.664 0.195 0.442
Y 0.336 0.805 0.558
Y 0.359 0.527 0.253
S 0.000 0.000 0.500

***

No. 4
! YAg2S2 (GGA-PBE, optimized geometry); values from VASP
! raw formation energy	-692	meV per atom
! space-group type	C2/c
&SYSTEM
  ibrav = 0, nat = 10, ntyp = 3
/
ATOMIC_SPECIES
S 32.06 S.upf
Ag 107.87 Ag.upf
Y 88.91 Y.upf
CELL_PARAMETERS angstrom
0.010 4.462 5.776
-1.754 -5.179 1.573
5.207 -2.160 -0.771
ATOMIC_POSITIONS crystal
S 0.685 0.113 0.321
Ag 0.500 0.500 0.000
S 0.185 0.321 0.113
S 0.315 0.887 0.679
Ag 0.000 0.500 0.500
Ag 0.500 0.500 0.500
Y 0.250 0.853 0.147
Ag 0.000 0.000 0.500
S 0.815 0.679 0.887
Y 0.750 0.147 0.853

***

Number 1 is which compound? YAg3S

***

Please write out number 1 again, unchanged.
! YAg3S (GGA-PBE, optimized geometry); values from VASP
! raw formation energy	250	meV per atom
! space-group type	Pm-3m
! E above lowest polymorph	0.000	eV/atom
&SYSTEM
  ibrav = 0, nat = 5, ntyp = 3
/
ATOMIC_SPECIES
Ag 107.87 Ag.upf
Y 88.91 Y.upf
S 32.06 S.upf
CELL_PARAMETERS angstrom
-2.390 -4.240 -0.410
3.968 -2.387 1.555
-1.550 0.428 4.612
ATOMIC_POSITIONS crystal
Ag 0.000 0.000 0.500
Y 0.500 0.500 0.500
S 0.000 0.000 0.000
Ag 0.000 0.500 0.000
Ag 0.500 0.000 0.000